i) Material: K3HO2
Method: DFT, GGA-PBE
State: relaxed

calculated volume = 204.0 Å³/cell
symmetry = No. 71

a = 7.9868 Å, b = 7.8998 Å, c = 7.8997 Å
α = 46.54°, β = 40.64°, γ = 40.64°
Last column: nearest neighbours and their distance in Å.
Element x y z (fractional)
K  0.7500  0.5000  0.5000  4 O 2.73
K  0.5354  0.8096  0.8098  2 H 2.53, 4 O 2.83
K  0.0354  0.8099  0.8096  2 H 2.53, 4 O 2.83
H  0.5000  0.0000  0.0000  2 O 1.26
K  0.4646  0.1904  0.1902  2 H 2.53, 4 O 2.83
H  0.0000  0.0000  0.0000  2 O 1.26
O  0.5001  0.2016  0.7981  1 H 1.26
O  0.9999  0.2019  0.7984  1 H 1.26
K  0.2500  0.5000  0.5000  4 O 2.73
K  0.9646  0.1901  0.1904  2 H 2.53, 4 O 2.83
O  0.0001  0.7981  0.2016  1 H 1.26
O  0.4999  0.7984  0.2019  1 H 1.26



ii) Material: K3HO2
Method: DFT, GGA-PBE
State: relaxed

calculated volume = 263.0 Å³/cell
symmetry = No. 65

a = 6.5259 Å, b = 7.4185 Å, c = 7.3422 Å
α = 120.34°, β = 116.39°, γ = 90.00°
Last column: nearest neighbours and their distance in Å.
Element x y z (fractional)
K  0.5000  0.2500  0.0000  4 O 2.74
K  0.1425  0.8925  0.2849  2 H 2.42
O  0.8084  0.5000  0.9999  1 H 1.25
H  0.0000  0.5000  0.0000  2 O 1.25
H  0.0000  0.0000  0.0000  2 O 1.25
O  0.1915  0.0000  0.9999  1 H 1.25
K  0.5000  0.7500  0.0000  4 O 2.74
O  0.1916  0.5000  0.0001  1 H 1.25
K  0.8575  0.1075  0.7151  2 H 2.42
O  0.8085  0.0000  0.0001  1 H 1.25
K  0.8575  0.6075  0.7151  2 H 2.42
K  0.1425  0.3925  0.2849  2 H 2.42



Stability summary - winner: i); margin: 55 meV per atom.